Model a:
{
  "formula": "Pm6Te2C",
  "functional": "PBE-GGA",
  "state": "relaxed",
  "mass_density_g_cm3": 7.26,
  "lattice": [[6.560, 0.000, 0.014], [0.000, 7.957, 0.000], [0.348, 0.000, 9.965]],
  "species": ["Te", "C", "Pm", "Pm", "Pm", "Pm", "Pm", "Pm", "Pm", "Pm", "Te", "Te", "Pm", "Pm", "Pm", "Te", "C", "Pm"],
  "frac_coords": [[0.924, 0.392, 0.253], [0.000, 0.000, 0.500], [0.831, 0.670, 0.035], [0.638, 0.209, 0.044], [0.615, 0.478, 0.752], [0.169, 0.330, 0.965], [0.115, 0.022, 0.252], [0.885, 0.978, 0.748], [0.138, 0.291, 0.544], [0.862, 0.709, 0.456], [0.076, 0.608, 0.747], [0.576, 0.892, 0.247], [0.331, 0.830, 0.535], [0.669, 0.170, 0.465], [0.385, 0.522, 0.248], [0.424, 0.108, 0.753], [0.500, 0.500, 0.000], [0.362, 0.791, 0.956]]
}



Model b:
{
  "formula": "Pm6Te2C",
  "functional": "PBE-GGA",
  "state": "relaxed",
  "mass_density_g_cm3": 6.29,
  "lattice": [[6.833, 0.000, 0.000], [0.000, 6.833, 0.000], [0.000, 0.000, 12.864]],
  "species": ["Pm", "Te", "Pm", "Pm", "Te", "Pm", "Pm", "Pm", "Pm", "Pm", "C", "Te", "Pm", "C", "Te", "Pm", "Pm", "Pm"],
  "frac_coords": [[0.813, 0.187, 0.143], [0.500, 0.500, 0.165], [0.313, 0.313, 0.357], [0.687, 0.687, 0.357], [0.000, 0.000, 0.665], [0.187, 0.813, 0.857], [0.187, 0.813, 0.143], [0.738, 0.738, 0.000], [0.313, 0.313, 0.643], [0.687, 0.687, 0.643], [0.000, 0.000, 0.000], [0.500, 0.500, 0.835], [0.762, 0.238, 0.500], [0.500, 0.500, 0.500], [0.000, 0.000, 0.335], [0.262, 0.262, 0.000], [0.813, 0.187, 0.857], [0.238, 0.762, 0.500]]
}



The least stable of them is model b.



Model a:
{
  "formula": "Pm3Te2C",
  "functional": "PBE-GGA",
  "state": "relaxed",
  "mass_density_g_cm3": 7.09,
  "lattice": [[-3.305, -3.220, 4.062], [5.652, -5.617, 0.146], [3.308, 6.220, 2.970]],
  "species": ["C", "Pm", "Te", "Te", "Pm", "C", "Pm", "Te", "Pm", "Te", "Pm", "Pm"],
  "frac_coords": [[0.043, 0.250, 0.000], [0.875, 0.936, 0.748], [0.320, 0.410, 0.642], [0.322, 0.910, 0.642], [0.125, 0.064, 0.252], [0.957, 0.750, 0.000], [0.127, 0.564, 0.252], [0.678, 0.090, 0.358], [0.549, 0.750, 0.000], [0.680, 0.590, 0.358], [0.451, 0.250, 0.000], [0.873, 0.436, 0.748]]
}



Model b:
{
  "formula": "Pm3Te2C",
  "functional": "PBE-GGA",
  "state": "relaxed",
  "mass_density_g_cm3": 7.22,
  "lattice": [[-4.294, 5.652, 1.077], [-6.612, -2.509, 2.877], [0.118, 3.451, 6.289]],
  "species": ["Pm", "Pm", "C", "Pm", "C", "Te", "Pm", "Te", "Pm", "Te", "Pm", "Te"],
  "frac_coords": [[0.932, 0.205, 0.625], [0.692, 0.802, 0.000], [0.668, 0.000, 0.663], [0.068, 0.795, 0.375], [0.332, 0.000, 0.337], [0.154, 0.500, 0.693], [0.308, 0.198, 0.000], [0.846, 0.500, 0.307], [0.557, 0.205, 0.375], [0.000, 0.000, 0.000], [0.443, 0.795, 0.625], [0.500, 0.500, 0.000]]
}



The least stable of them is model a.



Model a:
{
  "formula": "Pm2Th2C3",
  "functional": "PBE-GGA",
  "state": "relaxed",
  "mass_density_g_cm3": 9.71,
  "lattice": [[-2.874, -4.618, 4.493], [5.633, 3.006, 3.001], [-4.739, 4.971, -1.614]],
  "species": ["Th", "Pm", "C", "Pm", "C", "Th", "C", "Pm", "Th", "C", "C", "Pm", "C", "Th"],
  "frac_coords": [[0.000, 0.000, 0.403], [0.500, 0.893, 0.500], [0.602, 0.750, 0.852], [0.393, 0.500, 0.000], [0.148, 0.398, 0.250], [0.597, 0.097, 0.097], [0.898, 0.250, 0.648], [0.107, 0.607, 0.607], [0.903, 0.500, 0.000], [0.750, 0.648, 0.398], [0.250, 0.852, 0.102], [0.000, 0.000, 0.893], [0.352, 0.102, 0.750], [0.500, 0.403, 0.500]]
}



Model b:
{
  "formula": "Pm2Th2C3",
  "functional": "PBE-GGA",
  "state": "relaxed",
  "mass_density_g_cm3": 8.72,
  "lattice": [[0.292, -3.353, -1.664], [4.050, -1.968, 4.674], [-5.684, -0.018, 3.273]],
  "species": ["C", "C", "Th", "Th", "Pm", "C", "Pm"],
  "frac_coords": [[0.000, 0.000, 0.000], [0.255, 0.767, 0.510], [0.625, 0.882, 0.250], [0.375, 0.118, 0.750], [0.136, 0.361, 0.272], [0.745, 0.233, 0.490], [0.864, 0.639, 0.728]]
}



The least stable of them is model a.



Model a:
{
  "formula": "PmTh2C",
  "functional": "PBE-GGA",
  "state": "relaxed",
  "mass_density_g_cm3": 9.26,
  "lattice": [[3.602, 0.000, 0.000], [1.801, 3.120, 0.000], [1.801, 1.040, 9.906]],
  "species": ["Th", "Th", "Pm", "C"],
  "frac_coords": [[0.117, 0.117, 0.648], [0.883, 0.883, 0.352], [0.000, 0.000, 0.000], [0.500, 0.500, 0.500]]
}



Model b:
{
  "formula": "PmTh2C",
  "functional": "PBE-GGA",
  "state": "relaxed",
  "mass_density_g_cm3": 9.51,
  "lattice": [[3.603, -0.001, -0.681], [-1.865, 3.156, -0.003], [-0.064, -0.023, 9.553]],
  "species": ["Pm", "C", "Th", "Th"],
  "frac_coords": [[0.670, 0.835, 0.505], [0.002, 0.001, 0.003], [0.225, 0.613, 0.838], [0.770, 0.385, 0.154]]
}



The least stable of them is model a.